First-principles (PBE) data for a geometry-optimized CdAsPbF structure, as listed in OQMD.

## Properties
Space group = Pbam (55)

Cell lengths 10.175, 15.835, 4.657 Å; angles 90.00, 90.00, 90.00 degrees
Sites, in units of the cell vectors:
As (0.024, 0.423, 0.000)
As (0.022, 0.136, 0.000)
As (0.478, 0.636, 0.000)
Cd (0.587, 0.884, 0.500)
Cd (0.087, 0.616, 0.500)
Pb (0.278, 0.241, 0.000)
F (0.699, 0.209, 0.500)
Cd (0.504, 0.290, 0.500)
As (0.522, 0.364, 0.000)
Pb (0.697, 0.515, 0.000)
As (0.976, 0.577, 0.000)
Pb (0.778, 0.259, 0.000)
Cd (0.913, 0.384, 0.500)
F (0.765, 0.981, 0.500)
Pb (0.803, 0.015, 0.000)
Cd (0.413, 0.116, 0.500)
Cd (0.996, 0.790, 0.500)
F (0.801, 0.709, 0.500)
F (0.199, 0.291, 0.500)
As (0.524, 0.077, 0.000)
F (0.735, 0.481, 0.500)
As (0.476, 0.923, 0.000)
Cd (0.004, 0.210, 0.500)
Cd (0.496, 0.710, 0.500)
Pb (0.722, 0.759, 0.000)
F (0.265, 0.519, 0.500)
Pb (0.197, 0.985, 0.000)
Pb (0.303, 0.485, 0.000)
Pb (0.222, 0.741, 0.000)
F (0.301, 0.791, 0.500)
As (0.978, 0.864, 0.000)
F (0.235, 0.019, 0.500)


First-principles (PBE) data for a geometry-optimized Rb2CdAsF6 structure, as listed in OQMD.

## Properties
Space group = R-3m (166)

Cell lengths 10.724, 10.724, 10.724 Å; angles 33.43, 33.43, 33.43 degrees
Sites, in units of the cell vectors:
F (0.635, 0.635, 0.104)
Cd (0.500, 0.500, 0.500)
F (0.764, 0.764, 0.338)
F (0.896, 0.365, 0.365)
F (0.104, 0.635, 0.635)
F (0.764, 0.338, 0.764)
F (0.365, 0.365, 0.896)
As (0.587, 0.587, 0.587)
As (0.413, 0.413, 0.413)
F (0.635, 0.104, 0.635)
Rb (0.717, 0.717, 0.717)
F (0.236, 0.236, 0.662)
F (0.662, 0.236, 0.236)
Rb (0.867, 0.867, 0.867)
Rb (0.133, 0.133, 0.133)
F (0.338, 0.764, 0.764)
F (0.236, 0.662, 0.236)
Rb (0.283, 0.283, 0.283)
F (0.365, 0.896, 0.365)
Cd (0.000, 0.000, 0.000)


First-principles (PBE) data for a geometry-optimized Rb2CdAsF6 structure, as listed in OQMD.

## Properties
Space group = I4/mmm (139)

Cell lengths 6.391, 6.391, 6.391 Å; angles 123.68, 123.68, 83.74 degrees
Sites, in units of the cell vectors:
F (0.273, 0.273, 0.000)
F (0.762, 0.238, 0.000)
F (0.762, 0.762, 0.524)
F (0.727, 0.727, 0.000)
As (0.000, 0.000, 0.000)
F (0.238, 0.762, 0.000)
Rb (0.250, 0.750, 0.500)
F (0.238, 0.238, 0.476)
Rb (0.750, 0.250, 0.500)
Cd (0.500, 0.500, 0.000)


First-principles (PBE) data for a geometry-optimized CdAs2Xe4F20 structure, as listed in OQMD.

## Properties
Space group = P2_12_12_1 (19)

Cell lengths 8.074, 12.253, 15.645 Å; angles 90.00, 90.00, 90.00 degrees
Sites, in units of the cell vectors:
F (0.215, 0.966, 0.030)
F (0.295, 0.121, 0.310)
F (0.733, 0.788, 0.646)
F (0.954, 0.641, 0.453)
Xe (0.702, 0.030, 0.278)
Xe (0.298, 0.530, 0.222)
F (0.454, 0.859, 0.547)
F (0.677, 0.947, 0.460)
F (0.867, 0.099, 0.368)
F (0.797, 0.400, 0.846)
As (0.516, 0.485, 0.000)
F (0.889, 0.563, 0.598)
F (0.564, 0.031, 0.598)
Xe (0.798, 0.970, 0.778)
F (0.017, 0.556, 0.972)
As (0.984, 0.515, 0.500)
F (0.715, 0.534, 0.970)
F (0.560, 0.759, 0.276)
F (0.111, 0.063, 0.902)
F (0.964, 0.653, 0.274)
F (0.594, 0.641, 0.534)
F (0.036, 0.153, 0.226)
Cd (0.879, 0.526, 0.097)
F (0.511, 0.112, 0.450)
F (0.823, 0.053, 0.960)
F (0.947, 0.435, 0.212)
Xe (0.786, 0.352, 0.296)
F (0.673, 0.189, 0.709)
Cd (0.121, 0.026, 0.403)
F (0.046, 0.141, 0.047)
F (0.795, 0.379, 0.690)
F (0.808, 0.792, 0.367)
F (0.365, 0.770, 0.123)
F (0.611, 0.437, 0.098)
Xe (0.286, 0.148, 0.704)
F (0.547, 0.966, 0.190)
F (0.453, 0.466, 0.310)
F (0.094, 0.859, 0.466)
F (0.536, 0.347, 0.774)
Xe (0.589, 0.178, 0.059)
F (0.011, 0.388, 0.550)
F (0.177, 0.553, 0.540)
F (0.323, 0.447, 0.040)
Xe (0.817, 0.183, 0.543)
F (0.173, 0.311, 0.291)
Xe (0.183, 0.683, 0.957)
F (0.705, 0.621, 0.190)
F (0.785, 0.466, 0.470)
F (0.327, 0.689, 0.791)
F (0.546, 0.359, 0.953)
F (0.517, 0.944, 0.028)
F (0.205, 0.879, 0.810)
F (0.367, 0.401, 0.632)
F (0.440, 0.259, 0.224)
F (0.983, 0.056, 0.528)
F (0.876, 0.708, 0.060)
Xe (0.411, 0.678, 0.441)
F (0.064, 0.469, 0.402)
F (0.624, 0.292, 0.560)
F (0.233, 0.712, 0.354)
Xe (0.683, 0.817, 0.043)
F (0.464, 0.847, 0.726)
F (0.124, 0.208, 0.440)
F (0.865, 0.730, 0.877)
F (0.703, 0.600, 0.346)
F (0.297, 0.100, 0.154)
F (0.553, 0.565, 0.712)
F (0.047, 0.534, 0.810)
As (0.764, 0.707, 0.280)
F (0.376, 0.792, 0.940)
F (0.767, 0.212, 0.146)
F (0.906, 0.359, 0.034)
F (0.940, 0.241, 0.776)
As (0.264, 0.793, 0.720)
F (0.389, 0.937, 0.402)
F (0.489, 0.612, 0.050)
Xe (0.714, 0.648, 0.796)
Xe (0.911, 0.822, 0.559)
F (0.936, 0.969, 0.098)
Cd (0.621, 0.474, 0.597)
As (0.236, 0.207, 0.220)
F (0.447, 0.065, 0.788)
F (0.203, 0.900, 0.654)
Xe (0.317, 0.317, 0.457)
F (0.060, 0.741, 0.724)
F (0.267, 0.288, 0.854)
F (0.053, 0.935, 0.288)
F (0.192, 0.292, 0.133)
F (0.989, 0.888, 0.950)
F (0.135, 0.230, 0.623)
F (0.406, 0.141, 0.966)
F (0.633, 0.901, 0.868)
Xe (0.202, 0.470, 0.722)
As (0.736, 0.293, 0.780)
As (0.484, 0.985, 0.500)
F (0.635, 0.270, 0.377)
As (0.016, 0.015, 0.000)
F (0.483, 0.444, 0.472)
F (0.827, 0.811, 0.209)
F (0.133, 0.599, 0.132)
F (0.953, 0.034, 0.690)
F (0.308, 0.708, 0.633)
F (0.692, 0.208, 0.867)
Xe (0.089, 0.322, 0.941)
Xe (0.214, 0.852, 0.204)
F (0.436, 0.531, 0.902)
F (0.285, 0.034, 0.530)
Cd (0.379, 0.974, 0.903)


First-principles (PBE) data for a geometry-optimized CdFeHgAs structure, as listed in OQMD.

## Properties
Size of the total moment = 0.746 μB/atom
Space group = F-43m (216)

Cell lengths 4.783, 4.783, 4.783 Å; angles 60.00, 60.00, 60.00 degrees
Sites, in units of the cell vectors:
As (0.000, 0.000, 0.000)
Hg (0.250, 0.250, 0.250)
Fe (0.750, 0.750, 0.750)
Cd (0.500, 0.500, 0.500)


First-principles (PBE) data for a geometry-optimized CdFeHgAs structure, as listed in OQMD.

## Properties
Size of the total moment = 0.736 μB/atom
Space group = F-43m (216)

Cell lengths 4.768, 4.768, 4.768 Å; angles 60.00, 60.00, 60.00 degrees
Sites, in units of the cell vectors:
Fe (0.750, 0.750, 0.750)
Cd (0.250, 0.250, 0.250)
As (0.000, 0.000, 0.000)
Hg (0.500, 0.500, 0.500)


First-principles (PBE) data for a geometry-optimized MgCdFeAs structure, as listed in OQMD.

## Properties
Size of the total moment = 0.694 μB/atom
Space group = F-43m (216)

Cell lengths 4.636, 4.636, 4.636 Å; angles 60.00, 60.00, 60.00 degrees
Sites, in units of the cell vectors:
As (0.000, 0.000, 0.000)
Fe (0.750, 0.750, 0.750)
Mg (0.250, 0.250, 0.250)
Cd (0.500, 0.500, 0.500)


First-principles (PBE) data for a geometry-optimized CdFeNiAs structure, as listed in OQMD.

## Properties
Size of the total moment = 0.565 μB/atom
Space group = F-43m (216)

Cell lengths 4.346, 4.346, 4.346 Å; angles 60.00, 60.00, 60.00 degrees
Sites, in units of the cell vectors:
Ni (0.250, 0.250, 0.250)
Fe (0.750, 0.750, 0.750)
As (0.000, 0.000, 0.000)
Cd (0.500, 0.500, 0.500)


First-principles (PBE) data for a geometry-optimized CdFeNiAs structure, as listed in OQMD.

## Properties
Size of the total moment = 0.651 μB/atom
Space group = F-43m (216)

Cell lengths 4.408, 4.408, 4.408 Å; angles 60.00, 60.00, 60.00 degrees
Sites, in units of the cell vectors:
Cd (0.250, 0.250, 0.250)
Fe (0.750, 0.750, 0.750)
Ni (0.500, 0.500, 0.500)
As (0.000, 0.000, 0.000)


First-principles (PBE) data for a geometry-optimized CdFeAsPd structure, as listed in OQMD.

## Properties
Size of the total moment = 0.596 μB/atom
Space group = F-43m (216)

Cell lengths 4.496, 4.496, 4.496 Å; angles 60.00, 60.00, 60.00 degrees
Sites, in units of the cell vectors:
Pd (0.250, 0.250, 0.250)
Cd (0.500, 0.500, 0.500)
As (0.000, 0.000, 0.000)
Fe (0.750, 0.750, 0.750)


First-principles (PBE) data for a geometry-optimized CdFeAsPt structure, as listed in OQMD.

## Properties
Size of the total moment = 0.583 μB/atom
Space group = F-43m (216)

Cell lengths 4.507, 4.507, 4.507 Å; angles 60.00, 60.00, 60.00 degrees
Sites, in units of the cell vectors:
As (0.000, 0.000, 0.000)
Pt (0.250, 0.250, 0.250)
Cd (0.500, 0.500, 0.500)
Fe (0.750, 0.750, 0.750)


First-principles (PBE) data for a geometry-optimized CdFeAsW structure, as listed in OQMD.

## Properties
Size of the total moment = 0.532 μB/atom
Space group = F-43m (216)

Cell lengths 4.454, 4.454, 4.454 Å; angles 60.00, 60.00, 60.00 degrees
Sites, in units of the cell vectors:
Fe (0.750, 0.750, 0.750)
As (0.000, 0.000, 0.000)
Cd (0.500, 0.500, 0.500)
W (0.250, 0.250, 0.250)


First-principles (PBE) data for a geometry-optimized ZnCdFeAs structure, as listed in OQMD.

## Properties
Size of the total moment = 0.706 μB/atom
Space group = F-43m (216)

Cell lengths 4.576, 4.576, 4.576 Å; angles 60.00, 60.00, 60.00 degrees
Sites, in units of the cell vectors:
Zn (0.250, 0.250, 0.250)
Cd (0.500, 0.500, 0.500)
As (0.000, 0.000, 0.000)
Fe (0.750, 0.750, 0.750)


First-principles (PBE) data for a geometry-optimized ZnCdFeAs structure, as listed in OQMD.

## Properties
Size of the total moment = 0.704 μB/atom
Space group = F-43m (216)

Cell lengths 4.594, 4.594, 4.594 Å; angles 60.00, 60.00, 60.00 degrees
Sites, in units of the cell vectors:
Zn (0.500, 0.500, 0.500)
Fe (0.750, 0.750, 0.750)
Cd (0.250, 0.250, 0.250)
As (0.000, 0.000, 0.000)


First-principles (PBE) data for a geometry-optimized ZrCdFeAs structure, as listed in OQMD.

## Properties
Size of the total moment = 0.467 μB/atom
Space group = F-43m (216)

Cell lengths 4.634, 4.634, 4.634 Å; angles 60.00, 60.00, 60.00 degrees
Sites, in units of the cell vectors:
Cd (0.500, 0.500, 0.500)
Zr (0.250, 0.250, 0.250)
As (0.000, 0.000, 0.000)
Fe (0.750, 0.750, 0.750)


First-principles (PBE) data for a geometry-optimized ZrCdFeAs structure, as listed in OQMD.

## Properties
Size of the total moment = 0.208 μB/atom
Space group = F-43m (216)

Cell lengths 4.645, 4.645, 4.645 Å; angles 60.00, 60.00, 60.00 degrees
Sites, in units of the cell vectors:
Fe (0.750, 0.750, 0.750)
Cd (0.250, 0.250, 0.250)
Zr (0.500, 0.500, 0.500)
As (0.000, 0.000, 0.000)


First-principles (PBE) data for a geometry-optimized CdGaAs structure, as listed in OQMD.

## Properties
Space group = F-43m (216)

Cell lengths 4.679, 4.679, 4.679 Å; angles 60.00, 60.00, 60.00 degrees
Sites, in units of the cell vectors:
Ga (0.750, 0.750, 0.750)
Cd (0.250, 0.250, 0.250)
As (0.000, 0.000, 0.000)


First-principles (PBE) data for a geometry-optimized CdGaAs structure, as listed in OQMD.

## Properties
Space group = F-43m (216)

Cell lengths 4.657, 4.657, 4.657 Å; angles 60.00, 60.00, 60.00 degrees
Sites, in units of the cell vectors:
As (0.250, 0.250, 0.250)
Ga (0.750, 0.750, 0.750)
Cd (0.000, 0.000, 0.000)


First-principles (PBE) data for a geometry-optimized CdGaAsO structure, as listed in OQMD.

## Properties
Space group = Pmc2_1 (26)

Cell lengths 3.283, 6.911, 6.708 Å; angles 90.00, 90.00, 90.00 degrees
Sites, in units of the cell vectors:
Cd (0.500, 0.629, 0.553)
As (0.000, 0.142, 0.836)
As (0.000, 0.858, 0.336)
Ga (0.000, 0.190, 0.471)
Cd (0.500, 0.371, 0.053)
Ga (0.000, 0.810, 0.971)
O (0.500, 0.327, 0.394)
O (0.500, 0.673, 0.894)


First-principles (PBE) data for a geometry-optimized CdGaAsO structure, as listed in OQMD.

## Properties
Space group = P4/nmm (129)

Cell lengths 4.219, 4.219, 8.848 Å; angles 90.00, 90.00, 90.00 degrees
Sites, in units of the cell vectors:
O (0.750, 0.250, 0.000)
Ga (0.750, 0.250, 0.500)
Cd (0.250, 0.250, 0.074)
As (0.750, 0.750, 0.326)
O (0.250, 0.750, 0.000)
Ga (0.250, 0.750, 0.500)
Cd (0.750, 0.750, 0.926)
As (0.250, 0.250, 0.674)


| no. | total energy (eV per atom) |
| --- | --- |
| 1 | -3.531 |
| 2 | -3.992 |
| 3 | -4.027 |
| 4 | -3.079 |
| 5 | -3.042 |
| 6 | -3.112 |
| 7 | -3.648 |
| 8 | -4.648 |
| 9 | -4.512 |
| 10 | -4.678 |
| 11 | -4.842 |
| 12 | -6.013 |
| 13 | -3.414 |
| 14 | -3.404 |
| 15 | -5.510 |
| 16 | -5.357 |
| 17 | -2.833 |
| 18 | -2.754 |
| 19 | -3.996 |
| 20 | -3.742 |